# Na2PaRh3O8 | the Alexandria database | PBE | optimized geometry
data_Na2PaRh3O8
_space_group_name_H-M_alt 'C 1 m 1'
_space_group_IT_number 8
_space_group_name_Hall 'C -2y'
_cell_length_a 10.8276
_cell_length_b 6.2512
_cell_length_c 6.9458
_cell_angle_alpha 90.00
_cell_angle_beta 121.35
_cell_angle_gamma 90.00
loop_
_atom_site_label
_atom_site_type_symbol
_atom_site_fract_x
_atom_site_fract_y
_atom_site_fract_z
Na1 Na 0.0000 0.0000 0.0000
Na2 Na 0.1637 0.5000 0.9900
Pa1 Pa 0.1717 0.0000 0.5137
Rh1 Rh 0.1575 0.5000 0.4763
Rh2 Rh 0.4101 0.2474 0.4763
O1 O 0.1358 0.2714 0.6771
O2 O 0.1810 0.2531 0.2887
O3 O 0.3805 0.5000 0.6399
O4 O 0.4071 0.0000 0.6771
O5 O 0.4278 0.5000 0.2887
O6 O 0.4369 0.0000 0.3096
# - Formation energy (no corrections): -1.6207 eV per atom
# - Total moment: 0.00 μB/atom

=====

# ReTeSe | the Alexandria database | PBE | optimized geometry
data_ReTeSe
_space_group_name_H-M_alt 'F m m 2'
_space_group_IT_number 42
_space_group_name_Hall 'F 2 -2'
_cell_length_a 3.2023
_cell_length_b 5.2392
_cell_length_c 16.0287
_cell_angle_alpha 90.00
_cell_angle_beta 90.00
_cell_angle_gamma 90.00
loop_
_atom_site_label
_atom_site_type_symbol
_atom_site_fract_x
_atom_site_fract_y
_atom_site_fract_z
Re1 Re 0.0000 0.0000 0.0000
Te1 Te 0.0000 0.0000 0.3548
Se1 Se 0.0000 0.0000 0.6199
# - Formation energy (no corrections): 0.5936 eV per atom
# - Total moment: 0.00 μB/atom

=====

# Ho5MgRu | the Alexandria database | PBE | optimized geometry
data_Ho5MgRu
_space_group_name_H-M_alt 'C 1 2/c 1'
_space_group_IT_number 15
_space_group_name_Hall '-C 2yc'
_cell_length_a 9.0679
_cell_length_b 7.4985
_cell_length_c 11.8387
_cell_angle_alpha 90.00
_cell_angle_beta 105.97
_cell_angle_gamma 90.00
loop_
_atom_site_label
_atom_site_type_symbol
_atom_site_fract_x
_atom_site_fract_y
_atom_site_fract_z
Ho1 Ho 0.0000 0.0227 0.2500
Ho2 Ho 0.1274 0.3306 0.0686
Ho3 Ho 0.2488 0.1613 0.6222
Mg1 Mg 0.0000 0.3861 0.7500
Ru1 Ru 0.0000 0.0000 0.0000
# - Total moment: 0.00 μB/atom
# - Formation energy from the elements: -49 kJ/mol of formula units

=====

# CsRb5Cd4 | the Alexandria database | PBE | optimized geometry
data_CsRb5Cd4
_space_group_name_H-M_alt 'C 1 2/m 1'
_space_group_IT_number 12
_space_group_name_Hall '-C 2y'
_cell_length_a 23.6484
_cell_length_b 5.2746
_cell_length_c 10.1202
_cell_angle_alpha 90.00
_cell_angle_beta 102.76
_cell_angle_gamma 90.00
loop_
_atom_site_label
_atom_site_type_symbol
_atom_site_fract_x
_atom_site_fract_y
_atom_site_fract_z
Cs1 Cs 0.0000 0.0000 0.0000
Rb1 Rb 0.0000 0.0000 0.5000
Rb2 Rb 0.1754 0.5000 0.0703
Rb3 Rb 0.1912 0.5000 0.6038
Cd1 Cd 0.0717 0.5000 0.2973
Cd2 Cd 0.1317 0.0000 0.3182
# - Total moment: 0.00 μB/atom
# - Formation energy from the elements: -23 kJ/mol of formula units

=====

# UCuGe | the Alexandria database | PBE | optimized geometry
data_UCuGe
_space_group_name_H-M_alt 'F -4 3 m'
_space_group_IT_number 216
_space_group_name_Hall 'F -4 2 3'
_cell_length_a 6.2483
_cell_length_b 6.2483
_cell_length_c 6.2483
_cell_angle_alpha 90.00
_cell_angle_beta 90.00
_cell_angle_gamma 90.00
loop_
_atom_site_label
_atom_site_type_symbol
_atom_site_fract_x
_atom_site_fract_y
_atom_site_fract_z
U1 U 0.0000 0.0000 0.0000
Cu1 Cu 0.2500 0.2500 0.7500
Ge1 Ge 0.0000 0.0000 0.5000
# - Total moment: 0.87 μB/atom
# - Formation energy from the elements: 22 kJ/mol of formula units

=====

# Pm10Dy4Er | the Alexandria database | PBE | optimized geometry
data_Pm10Dy4Er
_space_group_name_H-M_alt 'I 4/m'
_space_group_IT_number 87
_space_group_name_Hall '-I 4'
_cell_length_a 12.3037
_cell_length_b 12.3037
_cell_length_c 7.7636
_cell_angle_alpha 90.00
_cell_angle_beta 90.00
_cell_angle_gamma 90.00
loop_
_atom_site_label
_atom_site_type_symbol
_atom_site_fract_x
_atom_site_fract_y
_atom_site_fract_z
Pm1 Pm 0.0000 0.5000 0.2500
Pm2 Pm 0.0995 0.8000 0.2503
Dy1 Dy 0.1004 0.2995 0.0000
Er1 Er 0.0000 0.0000 0.5000
# - Total moment: 0.00 μB/atom
# - Formation energy from the elements: 1015 kJ/mol of formula units

=====

# Er3CoNi | the Alexandria database | PBE | optimized geometry
data_Er3CoNi
_space_group_name_H-M_alt 'P m m n'
_space_group_IT_number 59
_cell_length_a 3.8953
_cell_length_b 9.0705
_cell_length_c 6.0875
_cell_angle_alpha 90.00
_cell_angle_beta 90.00
_cell_angle_gamma 90.00
loop_
_space_group_symop_operation_xyz
'x,y,z'
'-x,-y,-z'
'-x+1/2,-y+1/2,z'
'x+1/2,y+1/2,-z'
'x+1/2,-y,-z'
'-x+1/2,y,z'
'-x,y+1/2,-z'
'x,-y+1/2,z'
loop_
_atom_site_label
_atom_site_type_symbol
_atom_site_fract_x
_atom_site_fract_y
_atom_site_fract_z
Er1 Er 0.2500 0.0575 0.2426
Er2 Er 0.2500 0.2500 0.7514
Co1 Co 0.2500 0.7500 0.9454
Ni1 Ni 0.2500 0.7500 0.5568
# - Total moment: 0.00 μB/atom
# - Excess energy over the best structure of this formula in the dataset: 4 meV per atom
# - Formation energy from the elements: -127 kJ/mol of formula units

=====

# CaPr4Er2 | the Alexandria database | PBE | optimized geometry
data_CaPr4Er2
_space_group_name_H-M_alt 'R -3 m'
_space_group_IT_number 166
_space_group_name_Hall '-R 3 2"'
_cell_length_a 3.6588
_cell_length_b 3.6588
_cell_length_c 63.4468
_cell_angle_alpha 90.00
_cell_angle_beta 90.00
_cell_angle_gamma 120.00
loop_
_atom_site_label
_atom_site_type_symbol
_atom_site_fract_x
_atom_site_fract_y
_atom_site_fract_z
Ca1 Ca 0.0000 0.0000 0.0000
Pr1 Pr 0.0000 0.0000 0.1425
Pr2 Pr 0.0000 0.0000 0.2821
Er1 Er 0.0000 0.0000 0.4295
# - Total moment: 0.00 μB/atom
# - Formation energy from the elements: 16 kJ/mol of formula units

=====

# HgN2F2 | the Alexandria database | PBE | optimized geometry
data_HgN2F2
_space_group_name_H-M_alt 'P 4/m m m'
_space_group_IT_number 123
_space_group_name_Hall '-P 4 2'
_cell_length_a 4.3746
_cell_length_b 4.3746
_cell_length_c 4.3807
_cell_angle_alpha 90.00
_cell_angle_beta 90.00
_cell_angle_gamma 90.00
loop_
_atom_site_label
_atom_site_type_symbol
_atom_site_fract_x
_atom_site_fract_y
_atom_site_fract_z
Hg1 Hg 0.0000 0.0000 0.0000
N1 N 0.0000 0.5000 0.0000
F1 F 0.0000 0.0000 0.5000
F2 F 0.5000 0.5000 0.5000
# - Formation energy (no corrections): 1.4633 eV per atom
# - Total moment: 0.94 μB/atom
# - Excess energy over the best structure of this formula in the dataset: 2286 meV per atom

=====

# HfMg2Sc | the Alexandria database | PBE | optimized geometry
data_HfMg2Sc
_space_group_name_H-M_alt 'P 4 m m'
_space_group_IT_number 99
_space_group_name_Hall 'P 4 -2'
_cell_length_a 3.2062
_cell_length_b 3.2062
_cell_length_c 8.8760
_cell_angle_alpha 90.00
_cell_angle_beta 90.00
_cell_angle_gamma 90.00
loop_
_atom_site_label
_atom_site_type_symbol
_atom_site_fract_x
_atom_site_fract_y
_atom_site_fract_z
Hf1 Hf 0.0000 0.0000 0.0000
Mg1 Mg 0.0000 0.0000 0.5005
Mg2 Mg 0.5000 0.5000 0.7471
Sc1 Sc 0.5000 0.5000 0.2365
# - Total moment: 0.00 μB/atom
# - Excess energy over the best structure of this formula in the dataset: 0 meV per atom
# - Formation energy from the elements: -16 kJ/mol of formula units

=====

# KCoI3 | the Alexandria database | PBE | optimized geometry
data_KCoI3
_space_group_name_H-M_alt 'P m -3 m'
_space_group_IT_number 221
_space_group_name_Hall '-P 4 2 3'
_cell_length_a 5.5399
_cell_length_b 5.5399
_cell_length_c 5.5399
_cell_angle_alpha 90.00
_cell_angle_beta 90.00
_cell_angle_gamma 90.00
loop_
_atom_site_label
_atom_site_type_symbol
_atom_site_fract_x
_atom_site_fract_y
_atom_site_fract_z
K1 K 0.0000 0.0000 0.0000
Co1 Co 0.5000 0.5000 0.5000
I1 I 0.0000 0.5000 0.5000
# - Formation energy (no corrections): -0.4288 eV per atom
# - Total moment: 0.40 μB/atom
# - Excess energy over the best structure of this formula in the dataset: 152 meV per atom

=====

# SrNi2Os | the Alexandria database | PBE | optimized geometry
data_SrNi2Os
_space_group_name_H-M_alt 'I m m 2'
_space_group_IT_number 44
_space_group_name_Hall 'I 2 -2'
_cell_length_a 2.7416
_cell_length_b 4.7177
_cell_length_c 9.9589
_cell_angle_alpha 90.00
_cell_angle_beta 90.00
_cell_angle_gamma 90.00
loop_
_atom_site_label
_atom_site_type_symbol
_atom_site_fract_x
_atom_site_fract_y
_atom_site_fract_z
Sr1 Sr 0.0000 0.0000 0.0000
Ni1 Ni 0.0000 0.0000 0.4958
Ni2 Ni 0.0000 0.5000 0.7756
Os1 Os 0.0000 0.5000 0.2138
# - Total moment: 0.00 μB/atom
# - Excess energy over the best structure of this formula in the dataset: 500 meV per atom
# - Formation energy from the elements: 230 kJ/mol of formula units

=====

Copy entry 5 word for word.
# UCuGe | the Alexandria database | PBE | optimized geometry
data_UCuGe
_space_group_name_H-M_alt 'F -4 3 m'
_space_group_IT_number 216
_space_group_name_Hall 'F -4 2 3'
_cell_length_a 6.2483
_cell_length_b 6.2483
_cell_length_c 6.2483
_cell_angle_alpha 90.00
_cell_angle_beta 90.00
_cell_angle_gamma 90.00
loop_
_atom_site_label
_atom_site_type_symbol
_atom_site_fract_x
_atom_site_fract_y
_atom_site_fract_z
U1 U 0.0000 0.0000 0.0000
Cu1 Cu 0.2500 0.2500 0.7500
Ge1 Ge 0.0000 0.0000 0.5000
# - Total moment: 0.87 μB/atom
# - Formation energy from the elements: 22 kJ/mol of formula units